Compound: Ca2NiAg
Source: Alexandria
Functional: GGA-PBE
Structure: relaxed

Cell lengths 11.8368, 3.6286, 4.7729 Å; angles 90.00, 113.53, 90.00 degrees
Fractional positions:
Ca (0.0000, 0.0000, 0.0000)
Ca (0.2091, 0.0000, 0.7071)
Ca (0.5000, 0.5000, 0.0000)
Ca (0.7091, 0.5000, 0.7071)
Ni (0.2380, 0.5000, 0.2350)
Ni (0.7380, 0.0000, 0.2350)
Ag (0.4165, 0.0000, 0.4162)
Ag (0.9165, 0.5000, 0.4162)

Output
Symmetry: Cm, No. 8
DFT total energy (eV/f.u.): -12.88
DOS(E_F) (states/eV per atom): 0.65
Total magnetization (μB per cell): 0.0
Formation energy (eV per atom): -0.061